No. 1
The following is a PBE calculation of a geometry-optimized YTaMo structure, from the Alexandria database.

a = 3.2754 Å, b = 3.2754 Å, c = 6.9034 Å
α = 90.00°, β = 90.00°, γ = 120.00°
With the nearest neighbours (Å) after each atom.
Sites, in units of the cell vectors:
Mo: 0.0000 0.0000 0.0313  3 Ta 2.60
Ta: 0.6667 0.3333 0.2897  3 Mo 2.60
Y: 0.3333 0.6667 0.6790  3 Mo 3.08, 6 Y 3.28, 3 Ta 3.29

Values from the calculation:
Total moment = 0.00 μB/f.u.
Space group = P3m1 (156)
VASP energy = -9.30 eV per atom
Density of states at the Fermi level = 1.00 states/eV per atom
Energy of formation from the pure elements = 416 meV per atom

No. 2
The following is a PBE calculation of a geometry-optimized YTa2Mo structure, from the Alexandria database.

a = 3.3007 Å, b = 4.8141 Å, c = 4.9099 Å
α = 90.00°, β = 90.00°, γ = 90.00°
With the nearest neighbours (Å) after each atom.
Sites, in units of the cell vectors:
Mo: 0.0000 0.5000 0.5000  4 Y 2.92, 4 Ta 2.96
Ta: 0.0000 0.0000 0.0000  4 Ta 2.92, 4 Y 2.96
Ta: 0.5000 0.5000 0.0000  4 Ta 2.92, 4 Mo 2.96
Y: 0.5000 0.0000 0.5000  4 Mo 2.92, 4 Ta 2.96

Values from the calculation:
Total moment = 0.00 μB/f.u.
Space group = Pmmm (47)
VASP energy = -9.82 eV per atom
Density of states at the Fermi level = 1.58 states/eV per atom
Energy of formation from the pure elements = 433 meV per atom

No. 3
The following is a PBE calculation of a geometry-optimized YTa2Mo structure, from the Alexandria database.

a = 4.8219 Å, b = 4.8219 Å, c = 3.3411 Å
α = 90.00°, β = 90.00°, γ = 90.00°
With the nearest neighbours (Å) after each atom.
Sites, in units of the cell vectors:
Mo: 0.0000 0.5000 0.5000  8 Ta 2.93
Ta: 0.0000 0.0000 0.0000  4 Mo 2.93, 4 Y 2.93
Ta: 0.5000 0.5000 0.0000  4 Mo 2.93, 4 Y 2.93
Y: 0.5000 0.0000 0.5000  8 Ta 2.93

Values from the calculation:
Total moment = 0.00 μB/f.u.
Space group = P4/mmm (123)
VASP energy = -9.79 eV per atom
Density of states at the Fermi level = 1.06 states/eV per atom
Energy of formation from the pure elements = 462 meV per atom

No. 4
The following is a PBE calculation of a geometry-optimized Y2TaMo2 structure, from the Alexandria database.

a = 10.1904 Å, b = 10.1904 Å, c = 10.1904 Å
α = 160.31°, β = 160.31°, γ = 27.98°
With the nearest neighbours (Å) after each atom.
Sites, in units of the cell vectors:
Y: 0.6080 0.6080 0.0000  4 Ta 3.26, 4 Mo 3.31, 4 Y 3.48
Y: 0.3920 0.3920 0.0000  4 Ta 3.26, 4 Mo 3.31, 4 Y 3.48
Ta: 0.0000 0.0000 0.0000  8 Y 3.26, 4 Ta 3.48
Mo: 0.2500 0.7500 0.5000  4 Mo 2.46
Mo: 0.7500 0.2500 0.5000  4 Mo 2.46

Values from the calculation:
Total moment = 0.00 μB/f.u.
Space group = I4/mmm (139)
VASP energy = -8.55 eV per atom
Density of states at the Fermi level = 1.68 states/eV per atom
Energy of formation from the pure elements = 738 meV per atom

No. 5
The following is a PBE calculation of a geometry-optimized YTa2Mo structure, from the Alexandria database.

a = 3.3203 Å, b = 3.3203 Å, c = 7.3769 Å
α = 90.00°, β = 90.00°, γ = 90.00°
With the nearest neighbours (Å) after each atom.
Sites, in units of the cell vectors:
Mo: 0.5000 0.5000 0.7954  5 Ta 2.74-3.02
Ta: 0.0000 0.0000 0.9861  4 Mo 2.74, 4 Ta 2.85
Ta: 0.5000 0.5000 0.2052  4 Ta 2.85, 1 Mo 3.02
Y: 0.0000 0.0000 0.5132  4 Mo 3.14, 5 Ta 3.27-3.49, 4 Y 3.32

Values from the calculation:
Total moment = 0.00 μB/f.u.
Space group = P4mm (99)
VASP energy = -10.03 eV per atom
Density of states at the Fermi level = 1.52 states/eV per atom
Energy of formation from the pure elements = 224 meV per atom

No. 6
The following is a PBE calculation of a geometry-optimized YTa2Mo structure, from the Alexandria database.

a = 4.5485 Å, b = 3.0289 Å, c = 5.9480 Å
α = 78.23°, β = 90.00°, γ = 90.00°
With the nearest neighbours (Å) after each atom.
Sites, in units of the cell vectors:
Mo: 0.5000 0.7500 0.7500  4 Ta 2.73, 2 Mo 3.03, 2 Y 3.05
Ta: 0.0000 0.9498 0.9619  2 Mo 2.73, 4 Ta 2.79-3.03
Ta: 0.0000 0.5502 0.5381  2 Mo 2.73, 4 Ta 2.79-3.03
Y: 0.5000 0.2500 0.2500  2 Y 3.03, 2 Mo 3.05, 8 Ta 3.09-3.33

Values from the calculation:
Total moment = 0.00 μB/f.u.
Space group = P2/m (10)
VASP energy = -9.97 eV per atom
Density of states at the Fermi level = 1.04 states/eV per atom
Energy of formation from the pure elements = 281 meV per atom

No. 7
The following is a PBE calculation of a geometry-optimized YTa2Mo structure, from the Alexandria database.

a = 5.6718 Å, b = 5.6140 Å, c = 2.8940 Å
α = 79.62°, β = 80.45°, γ = 116.67°
With the nearest neighbours (Å) after each atom.
Sites, in units of the cell vectors:
Mo: 0.5000 0.0000 0.5000  2 Mo 2.89, 2 Y 2.92, 4 Ta 2.96
Ta: 0.0000 0.0000 0.0000  4 Ta 2.89-2.92, 2 Mo 2.96, 2 Y 2.96
Ta: 0.0000 0.5000 0.5000  4 Ta 2.89-2.92, 2 Y 2.96, 2 Mo 2.96
Y: 0.5000 0.5000 0.0000  2 Y 2.89, 2 Mo 2.92, 4 Ta 2.96

Values from the calculation:
Total moment = 0.00 μB/f.u.
Space group = C2/m (12)
VASP energy = -9.85 eV per atom
Density of states at the Fermi level = 1.35 states/eV per atom
Energy of formation from the pure elements = 402 meV per atom

No. 8
The following is a PBE calculation of a geometry-optimized YTa2Mo structure, from the Alexandria database.

a = 9.4238 Å, b = 9.4238 Å, c = 9.4238 Å
α = 19.46°, β = 19.46°, γ = 19.46°
With the nearest neighbours (Å) after each atom.
Sites, in units of the cell vectors:
Mo: 0.7401 0.7401 0.7401  3 Ta 2.64
Ta: 0.0049 0.0049 0.0049  3 Mo 2.64, 3 Ta 2.86
Ta: 0.2591 0.2591 0.2591  9 Ta 2.86-3.19
Y: 0.4960 0.4960 0.4960  3 Mo 3.08, 6 Y 3.19, 3 Ta 3.25

Values from the calculation:
Total moment = 0.00 μB/f.u.
Space group = R3m (160)
VASP energy = -9.84 eV per atom
Density of states at the Fermi level = 1.04 states/eV per atom
Energy of formation from the pure elements = 411 meV per atom

No. 9
The following is a PBE calculation of a geometry-optimized YTa2Mo structure, from the Alexandria database.

a = 2.8243 Å, b = 4.7796 Å, c = 5.9295 Å
α = 90.00°, β = 90.00°, γ = 90.00°
With the nearest neighbours (Å) after each atom.
Sites, in units of the cell vectors:
Mo: 0.5000 0.5000 0.7761  1 Ta 2.64, 2 Mo 2.82
Ta: 0.0000 0.0000 0.9985  6 Ta 2.82-3.07, 2 Y 2.93-3.00, 4 Mo 3.07
Ta: 0.5000 0.5000 0.2213  1 Mo 2.64, 2 Ta 2.82
Y: 0.0000 0.0000 0.5042  2 Y 2.82, 2 Ta 2.93-3.00

Values from the calculation:
Total moment = 0.00 μB/f.u.
Space group = Pmm2 (25)
VASP energy = -9.78 eV per atom
Density of states at the Fermi level = 1.04 states/eV per atom
Energy of formation from the pure elements = 470 meV per atom

No. 10
The following is a PBE calculation of a geometry-optimized YTa2Mo structure, from the Alexandria database.

a = 4.7836 Å, b = 4.7836 Å, c = 4.7836 Å
α = 60.00°, β = 60.00°, γ = 60.00°
With the nearest neighbours (Å) after each atom.
Sites, in units of the cell vectors:
Y: 0.0000 0.0000 0.0000  8 Ta 2.93
Mo: 0.5000 0.5000 0.5000  8 Ta 2.93
Ta: 0.2500 0.2500 0.2500  4 Mo 2.93, 4 Y 2.93
Ta: 0.7500 0.7500 0.7500  4 Mo 2.93, 4 Y 2.93

Values from the calculation:
Total moment = 0.00 μB/f.u.
Space group = Fm-3m (225)
VASP energy = -9.86 eV per atom
Density of states at the Fermi level = 1.23 states/eV per atom
Energy of formation from the pure elements = 389 meV per atom

No. 11
The following is a PBE calculation of a geometry-optimized Y2TaMo2 structure, from the Alexandria database.

a = 4.0756 Å, b = 4.0756 Å, c = 7.3514 Å
α = 73.91°, β = 73.91°, γ = 90.00°
With the nearest neighbours (Å) after each atom.
Sites, in units of the cell vectors:
Y: 0.7500 0.2500 0.5000  4 Y 2.88, 4 Mo 3.07
Y: 0.2500 0.7500 0.5000  4 Y 2.88, 4 Mo 3.07
Mo: 0.4201 0.4201 0.1598  1 Mo 2.16
Mo: 0.5799 0.5799 0.8402  1 Mo 2.16
Ta: 0.0000 0.0000 0.0000  8 Mo 3.08

Values from the calculation:
Total moment = 0.00 μB/f.u.
Space group = I4/mmm (139)
VASP energy = -8.32 eV per atom
Density of states at the Fermi level = 0.72 states/eV per atom
Energy of formation from the pure elements = 965 meV per atom

No. 12
The following is a PBE calculation of a geometry-optimized YTaMo structure, from the Alexandria database.

a = 4.6082 Å, b = 4.6082 Å, c = 4.6082 Å
α = 60.00°, β = 60.00°, γ = 60.00°
With the nearest neighbours (Å) after each atom.
Sites, in units of the cell vectors:
Mo: 0.7500 0.7500 0.7500  4 Y 2.82, 4 Ta 2.82
Ta: 0.0000 0.0000 0.0000  4 Mo 2.82
Y: 0.5000 0.5000 0.5000  4 Mo 2.82

Values from the calculation:
Total moment = 0.00 μB/f.u.
Space group = F-43m (216)
VASP energy = -9.03 eV per atom
Density of states at the Fermi level = 1.02 states/eV per atom
Energy of formation from the pure elements = 690 meV per atom

No. 13
The following is a PBE calculation of a geometry-optimized YTa2Mo structure, from the Alexandria database.

a = 4.9067 Å, b = 4.0344 Å, c = 4.0344 Å
α = 90.00°, β = 90.00°, γ = 90.00°
With the nearest neighbours (Å) after each atom.
Sites, in units of the cell vectors:
Mo: 0.5000 0.0000 0.5000  4 Y 2.85, 8 Ta 3.18
Ta: 0.0000 0.0000 0.0000  4 Ta 2.85, 4 Mo 3.18, 4 Y 3.18
Ta: 0.0000 0.5000 0.5000  4 Ta 2.85, 4 Mo 3.18, 4 Y 3.18
Y: 0.5000 0.5000 0.0000  4 Mo 2.85, 8 Ta 3.18

Values from the calculation:
Total moment = 0.00 μB/f.u.
Space group = P4/mmm (123)
VASP energy = -9.70 eV per atom
Density of states at the Fermi level = 1.44 states/eV per atom
Energy of formation from the pure elements = 549 meV per atom

No. 14
The following is a PBE calculation of a geometry-optimized Y2TaMo2 structure, from the Alexandria database.

a = 6.7089 Å, b = 6.7089 Å, c = 5.0092 Å
α = 90.00°, β = 90.00°, γ = 90.00°
With the nearest neighbours (Å) after each atom.
Sites, in units of the cell vectors:
Y: 0.1753 0.6753 0.5000  6 Mo 3.10-3.26, 1 Y 3.33
Y: 0.6753 0.8247 0.5000  6 Mo 3.10-3.26, 1 Y 3.33
Y: 0.8247 0.3247 0.5000  6 Mo 3.10-3.26, 1 Y 3.33
Y: 0.3247 0.1753 0.5000  6 Mo 3.10-3.26, 1 Y 3.33
Mo: 0.3681 0.8681 0.0000  1 Mo 2.50, 2 Ta 2.62
Mo: 0.8681 0.6319 0.0000  1 Mo 2.50, 2 Ta 2.62
Mo: 0.6319 0.1319 0.0000  1 Mo 2.50, 2 Ta 2.62
Mo: 0.1319 0.3681 0.0000  1 Mo 2.50, 2 Ta 2.62
Ta: 0.0000 0.0000 0.0000  4 Mo 2.62
Ta: 0.5000 0.5000 0.0000  4 Mo 2.62

Values from the calculation:
Total moment = 0.00 μB/f.u.
Space group = P4/mbm (127)
VASP energy = -8.98 eV per atom
Density of states at the Fermi level = 0.94 states/eV per atom
Energy of formation from the pure elements = 310 meV per atom

No. 15
The following is a PBE calculation of a geometry-optimized YTa2Mo structure, from the Alexandria database.

a = 5.0340 Å, b = 5.0340 Å, c = 5.8170 Å
α = 89.44°, β = 89.44°, γ = 32.70°
With the nearest neighbours (Å) after each atom.
Sites, in units of the cell vectors:
Mo: 0.2500 0.2500 0.2271  3 Ta 2.70-2.99, 2 Mo 2.83, 1 Y 2.86
Ta: 0.0065 0.0065 0.0016  1 Mo 2.70, 5 Ta 2.83-3.02
Ta: 0.7478 0.7478 0.7740  5 Ta 2.83-3.02, 1 Y 2.93, 2 Mo 2.99
Y: 0.4957 0.4957 0.4973  2 Y 2.83, 1 Mo 2.86, 1 Ta 2.93

Values from the calculation:
Total moment = 0.00 μB/f.u.
Space group = Cm (8)
VASP energy = -9.79 eV per atom
Density of states at the Fermi level = 1.29 states/eV per atom
Energy of formation from the pure elements = 462 meV per atom

No. 16
The following is a PBE calculation of a geometry-optimized Y3TaMo structure, from the Alexandria database.

a = 5.2266 Å, b = 5.2266 Å, c = 5.2266 Å
α = 90.00°, β = 90.00°, γ = 90.00°
With the nearest neighbours (Å) after each atom.
Sites, in units of the cell vectors:
Y: 0.0000 0.5000 0.0000  2 Mo 2.61
Y: 0.0000 0.0000 0.5000  2 Mo 2.61
Y: 0.5000 0.0000 0.0000  2 Mo 2.61
Mo: 0.0000 0.0000 0.0000  6 Y 2.61
Ta: 0.5000 0.5000 0.5000  12 Y 3.70

Values from the calculation:
Total moment = 0.00 μB/f.u.
Space group = Pm-3m (221)
VASP energy = -7.30 eV per atom
Density of states at the Fermi level = 2.03 states/eV per atom
Energy of formation from the pure elements = 1116 meV per atom

No. 17
The following is a PBE calculation of a geometry-optimized YTaMo structure, from the Alexandria database.

a = 5.0893 Å, b = 5.0893 Å, c = 5.0893 Å
α = 146.97°, β = 120.47°, γ = 69.79°
With the nearest neighbours (Å) after each atom.
Sites, in units of the cell vectors:
Mo: 0.0078 0.0078 0.0000  1 Ta 2.63, 1 Y 2.83, 2 Mo 2.89
Ta: 0.3232 0.3232 0.0000  1 Mo 2.63, 1 Y 2.89, 2 Ta 2.89
Y: 0.6690 0.6690 0.0000  1 Mo 2.83, 1 Ta 2.89, 2 Y 2.89

Values from the calculation:
Total moment = 0.00 μB/f.u.
Space group = Imm2 (44)
VASP energy = -9.21 eV per atom
Density of states at the Fermi level = 0.82 states/eV per atom
Energy of formation from the pure elements = 511 meV per atom

No. 18
The following is a PBE calculation of a geometry-optimized YTaMo structure, from the Alexandria database.

a = 7.6351 Å, b = 7.3887 Å, c = 3.0603 Å
α = 82.80°, β = 73.76°, γ = 23.43°
With the nearest neighbours (Å) after each atom.
Sites, in units of the cell vectors:
Mo: 0.0127 0.0127 0.9873  2 Ta 2.57
Ta: 0.6479 0.6479 0.3521  2 Mo 2.57
Y: 0.3394 0.3394 0.6606  2 Mo 3.01, 6 Y 3.06-3.37, 2 Ta 3.23

Values from the calculation:
Total moment = 0.00 μB/f.u.
Space group = Fmm2 (42)
VASP energy = -9.40 eV per atom
Density of states at the Fermi level = 0.87 states/eV per atom
Energy of formation from the pure elements = 318 meV per atom

No. 19
The following is a PBE calculation of a geometry-optimized YTaMo4 structure, from the Alexandria database.

a = 5.3870 Å, b = 5.3870 Å, c = 5.3870 Å
α = 60.00°, β = 60.00°, γ = 60.00°
With the nearest neighbours (Å) after each atom.
Sites, in units of the cell vectors:
Y: 0.0000 0.0000 0.0000  12 Mo 3.16, 4 Ta 3.30
Ta: 0.7500 0.7500 0.7500  12 Mo 3.16, 4 Y 3.30
Mo: 0.8743 0.3752 0.3752  6 Mo 2.69-2.70
Mo: 0.3752 0.3752 0.8743  6 Mo 2.69-2.70
Mo: 0.3752 0.8743 0.3752  6 Mo 2.69-2.70
Mo: 0.3752 0.3752 0.3752  6 Mo 2.69-2.70

Values from the calculation:
Total moment = 0.00 μB/f.u.
Space group = F-43m (216)
VASP energy = -10.21 eV per atom
Density of states at the Fermi level = 0.63 states/eV per atom
Energy of formation from the pure elements = 68 meV per atom

No. 20
The following is a PBE calculation of a geometry-optimized TaZnMo2 structure, from the Alexandria database.

a = 5.2098 Å, b = 5.2098 Å, c = 2.6576 Å
α = 90.00°, β = 90.00°, γ = 115.81°
With the nearest neighbours (Å) after each atom.
Sites, in units of the cell vectors:
Mo: 0.0000 0.0000 0.0000  4 Mo 2.66-2.77, 4 Ta 2.92, 4 Zn 2.92
Mo: 0.5000 0.5000 0.0000  4 Mo 2.66-2.77, 4 Zn 2.92, 4 Ta 2.92
Ta: 0.5000 0.0000 0.5000  2 Ta 2.66, 2 Zn 2.77, 8 Mo 2.92
Zn: 0.0000 0.5000 0.5000  2 Zn 2.66, 2 Ta 2.77, 8 Mo 2.92

Values from the calculation:
Total moment = 0.00 μB/f.u.
Space group = Cmmm (65)
VASP energy = -8.51 eV per atom
Density of states at the Fermi level = 0.44 states/eV per atom
Energy of formation from the pure elements = 185 meV per atom